8
Lattice="8.490 0.000 0.000 0.000 8.490 0.000 4.245 4.245 2.897" Properties=species:S:1:pos:R:3 comment="Sr2GaRe, optimized geometry, DFT PBE-GGA" crystal_system=tetragonal n_ef_per_ev_cell=6.0 delta_e_f_ev_per_atom=0.949 magmom_total_mub_per_cell=0.00 sg=I-42d pbc="T T T"
Sr 2.027 6.368 0.724
Sr 10.613 10.708 2.173
Re 8.490 4.245 1.449
Ga 4.245 8.490 1.449
Ga 4.245 4.245 0.000
Sr 6.463 2.123 0.724
Sr 6.368 6.272 2.173
Re 0.000 0.000 0.000